(1)
# Ba3PuPd2O9 | Alexandria via LeMat-Bulk | PBE-GGA | optimized geometry
# Crystal system: trigonal
data_Ba3PuPd2O9
_chemical_formula_sum 'Ba3 Pu1 Pd2 O9'
_cell_length_a 5.9380
_cell_length_b 5.9380
_cell_length_c 7.3724
_cell_angle_alpha 90.00
_cell_angle_beta 90.00
_cell_angle_gamma 120.00
_space_group_name_H-M_alt 'P -3 m 1'
_space_group_IT_number 164
_space_group_name_Hall '-P 3 2"'
loop_
_atom_site_label
_atom_site_type_symbol
_atom_site_fract_x
_atom_site_fract_y
_atom_site_fract_z
Ba1 Ba 0.0000 0.0000 0.0000
Ba2 Ba 0.3333 0.6667 0.7040
Pu1 Pu 0.0000 0.0000 0.5000
Pd1 Pd 0.3333 0.6667 0.1673
O1 O 0.0000 0.5000 0.0000
O2 O 0.1607 0.3214 0.3387

***

(2)
# Ba2PuPd3O12 | Alexandria via LeMat-Bulk | PBE-GGA | optimized geometry
# Crystal system: trigonal
data_Ba2PuPd3O12
_chemical_formula_sum 'Ba6 Pu3 Pd9 O36'
_cell_length_a 7.1447
_cell_length_b 7.1447
_cell_length_c 18.3975
_cell_angle_alpha 90.00
_cell_angle_beta 90.00
_cell_angle_gamma 120.00
_space_group_name_H-M_alt 'R -3 m'
_space_group_IT_number 166
_space_group_name_Hall '-R 3 2"'
loop_
_atom_site_label
_atom_site_type_symbol
_atom_site_fract_x
_atom_site_fract_y
_atom_site_fract_z
Ba1 Ba 0.0000 0.0000 0.1043
Pu1 Pu 0.0000 0.0000 0.5000
Pd1 Pd 0.0000 0.5000 0.0000
O1 O 0.0422 0.5211 0.3585
O2 O 0.0623 0.5311 0.1072

***

(3)
# RbBaPdO3 | Alexandria via LeMat-Bulk | PBE-GGA | optimized geometry
# Crystal system: monoclinic
data_RbBaPdO3
_chemical_formula_sum 'Rb4 Ba4 Pd4 O12'
_cell_length_a 14.3376
_cell_length_b 4.0717
_cell_length_c 8.2150
_cell_angle_alpha 90.00
_cell_angle_beta 106.43
_cell_angle_gamma 90.00
_space_group_name_H-M_alt 'C 1 2/m 1'
_space_group_IT_number 12
loop_
_space_group_symop_operation_xyz
'x,y,z'
'-x,-y,-z'
'-x,y,-z'
'x,-y,z'
'x+1/2,y+1/2,z'
'-x+1/2,-y+1/2,-z'
'-x+1/2,y+1/2,-z'
'x+1/2,-y+1/2,z'
loop_
_atom_site_label
_atom_site_type_symbol
_atom_site_fract_x
_atom_site_fract_y
_atom_site_fract_z
Rb1 Rb 0.1432 0.0000 0.0675
Ba1 Ba 0.1511 0.0000 0.5826
Pd1 Pd 0.0047 0.5000 0.2688
O1 O 0.0050 0.0000 0.2981
O2 O 0.1399 0.5000 0.8009
O3 O 0.1503 0.5000 0.3489

***

(4)
# BaRePdO6 | Alexandria via LeMat-Bulk | PBE-GGA | optimized geometry
# Crystal system: monoclinic
data_BaRePdO6
_chemical_formula_sum 'Ba2 Re2 Pd2 O12'
_cell_length_a 5.5102
_cell_length_b 9.3703
_cell_length_c 5.6061
_cell_angle_alpha 90.00
_cell_angle_beta 91.18
_cell_angle_gamma 90.00
_space_group_name_H-M_alt 'C 1 2 1'
_space_group_IT_number 5
loop_
_space_group_symop_operation_xyz
'x,y,z'
'-x,y,-z'
'x+1/2,y+1/2,z'
'-x+1/2,y+1/2,-z'
loop_
_atom_site_label
_atom_site_type_symbol
_atom_site_fract_x
_atom_site_fract_y
_atom_site_fract_z
Ba1 Ba 0.0000 0.0000 0.0000
Re1 Re 0.0000 0.3410 0.5000
Pd1 Pd 0.0000 0.6735 0.5000
O1 O 0.1115 0.5032 0.6907
O2 O 0.1600 0.2208 0.7127
O3 O 0.2062 0.8255 0.6795

***

(5)
# BaRe2PdO8 | Alexandria via LeMat-Bulk | PBE-GGA | optimized geometry
# Crystal system: monoclinic
data_BaRe2PdO8
_chemical_formula_sum 'Ba2 Re4 Pd2 O16'
_cell_length_a 10.1791
_cell_length_b 7.3006
_cell_length_c 7.2684
_cell_angle_alpha 90.00
_cell_angle_beta 102.21
_cell_angle_gamma 90.00
_space_group_name_H-M_alt 'C 1 2/m 1'
_space_group_IT_number 12
loop_
_space_group_symop_operation_xyz
'x,y,z'
'-x,-y,-z'
'-x,y,-z'
'x,-y,z'
'x+1/2,y+1/2,z'
'-x+1/2,-y+1/2,-z'
'-x+1/2,y+1/2,-z'
'x+1/2,-y+1/2,z'
loop_
_atom_site_label
_atom_site_type_symbol
_atom_site_fract_x
_atom_site_fract_y
_atom_site_fract_z
Ba1 Ba 0.0000 0.0000 0.0000
Re1 Re 0.1690 0.5000 0.2314
Pd1 Pd 0.0000 0.0000 0.5000
O1 O 0.0690 0.3021 0.2248
O2 O 0.2039 0.0000 0.5604
O3 O 0.2429 0.5000 0.0324

***

(6)
# Ba3Pd2RhO6 | Alexandria via LeMat-Bulk | PBE-GGA | optimized geometry
# Crystal system: trigonal
data_Ba3Pd2RhO6
_chemical_formula_sum 'Ba3 Pd2 Rh1 O6'
_cell_length_a 5.9285
_cell_length_b 5.9285
_cell_length_c 6.7826
_cell_angle_alpha 90.00
_cell_angle_beta 90.00
_cell_angle_gamma 120.00
_space_group_name_H-M_alt 'P -3 m 1'
_space_group_IT_number 164
_space_group_name_Hall '-P 3 2"'
loop_
_atom_site_label
_atom_site_type_symbol
_atom_site_fract_x
_atom_site_fract_y
_atom_site_fract_z
Ba1 Ba 0.0000 0.0000 0.0000
Ba2 Ba 0.3333 0.6667 0.6372
Pd1 Pd 0.3333 0.6667 0.1398
Rh1 Rh 0.0000 0.0000 0.5000
O1 O 0.1604 0.3208 0.3237

***

It is found that the volume values, taken in the order of the records, are 15.01, 15.06, 19.17, 16.08, 22.00, 17.20 Å³/atom.
It is found that the total energy values, taken in the order of the records, are -6.99, -6.52, -5.23, -7.02, -7.64, -5.74 eV/atom.